P | Computed, not measured: a relaxed structure of Nb4Pt3Rh at the PBE level of DFT.

Lattice parameters (Å, degrees): 2.834 2.834 16.323 90.00 90.00 90.00
Fractional coordinates of all 8 atoms:
Nb (0.000, 0.000, 0.120)
Nb (0.000, 0.000, 0.373)
Nb (0.000, 0.000, 0.627)
Nb (0.000, 0.000, 0.880)
Pt (0.500, 0.500, 0.248)
Pt (0.500, 0.500, 0.500)
Pt (0.500, 0.500, 0.752)
Rh (0.500, 0.500, 0.000)

Properties
Calculated volume   16.38 Å³/atom
Density of states at the Fermi level   5.373 states/eV per cell
Spin magnetization   0.000 μB per formula unit



Q | Computed, not measured: a relaxed structure of Nb4Pt3Rh at the PBE level of DFT.

Lattice parameters (Å, degrees): 4.971 4.971 8.025 113.80 113.80 47.35
Fractional coordinates of all 8 atoms:
Nb (0.248, 0.248, 0.123)
Nb (0.252, 0.252, 0.627)
Nb (0.748, 0.748, 0.373)
Nb (0.752, 0.752, 0.877)
Pt (0.000, 0.000, 0.250)
Pt (0.000, 0.000, 0.750)
Pt (0.500, 0.500, 0.500)
Rh (0.500, 0.500, 0.000)

Properties
Calculated volume   16.37 Å³/atom
Density of states at the Fermi level   4.260 states/eV per cell
Spin magnetization   0.000 μB per formula unit



Looking at the structures above, which would you pick as the most stable? I would pick Q.